# 1
An optimized crystal structure of BSbNF2, computed with PBE.

## Properties
Total moment in μB/atom: 0.017
Fermi-level density of states in states/eV per cell: 0.77
Space group: P4/mmm, No. 123
Excess energy over the best structure of this formula in the dataset in meV/atom: 1129

Cell lengths 4.3625, 4.3625, 4.0810 Å; angles 90.00, 90.00, 90.00 degrees
Last column: nearest neighbours and their distance in Å.
Fractional coordinates of all 5 atoms:
B: 0.0000 0.0000 0.0000  8 F 2.99, 4 N 3.08
Sb: 0.5000 0.5000 0.5000  2 N 2.04, 4 F 2.18
N: 0.5000 0.5000 0.0000  2 Sb 2.04
F: 0.0000 0.5000 0.5000  2 Sb 2.18
F: 0.5000 0.0000 0.5000  2 Sb 2.18

# 2
An optimized crystal structure of Y2TaGa3Ir4, computed with PBE.

## Properties
Total moment in μB/atom: 0.000
Fermi-level density of states in states/eV per cell: 6.27
Space group: P-4m2, No. 115
Energy of formation from the pure elements in eV/atom: -0.69

Cell lengths 4.1928, 4.1928, 10.7078 Å; angles 90.00, 90.00, 90.00 degrees
Last column: nearest neighbours and their distance in Å.
Fractional coordinates of all 10 atoms:
Y: 0.0000 0.5000 0.2249  4 Ga 3.14, 8 Ir 3.19-3.30
Y: 0.5000 0.0000 0.7751  4 Ga 3.14, 8 Ir 3.19-3.30
Ta: 0.0000 0.0000 0.5000  4 Ir 2.58
Ga: 0.0000 0.5000 0.8730  5 Ir 2.50
Ga: 0.5000 0.0000 0.1270  5 Ir 2.50
Ga: 0.5000 0.5000 0.5000  4 Ir 2.58
Ir: 0.0000 0.0000 0.0000  4 Ga 2.50
Ir: 0.0000 0.5000 0.6398  3 Ga 2.50-2.58, 2 Ta 2.58
Ir: 0.5000 0.0000 0.3602  3 Ga 2.50-2.58, 2 Ta 2.58
Ir: 0.5000 0.5000 0.0000  4 Ga 2.50

# 3
An optimized crystal structure of Tm2RuBr, computed with PBE.

## Properties
Total moment in μB/atom: 0.000
Fermi-level density of states in states/eV per cell: 0.95
Space group: P4/mmm, No. 123
Excess energy over the best structure of this formula in the dataset in meV/atom: 0

Cell lengths 3.3623, 3.3623, 8.0990 Å; angles 90.00, 90.00, 90.00 degrees
Last column: nearest neighbours and their distance in Å.
Fractional coordinates of all 4 atoms:
Tm: 0.0000 0.0000 0.2028  4 Ru 2.89
Tm: 0.0000 0.0000 0.7972  4 Ru 2.89
Ru: 0.5000 0.5000 0.0000  8 Tm 2.89
Br: 0.5000 0.5000 0.5000  4 Br 3.36, 8 Tm 3.38